La7CBr12: optimized geometry, GGA-PBE.

Properties
- total energy (eV/atom) = -4.87
- formation energy without anion corrections (eV per atom) = -1.68

```
data_La7CBr12
_cell_length_a 15.2284
_cell_length_b 15.2284
_cell_length_c 10.3473
_cell_angle_alpha 90.00
_cell_angle_beta 90.00
_cell_angle_gamma 120.00
_symmetry_space_group_name_H-M 'R -3'
_symmetry_Int_Tables_number 148
_symmetry_space_group_name_Hall '-R 3'
loop_
_atom_site_label
_atom_site_type_symbol
_atom_site_fract_x
_atom_site_fract_y
_atom_site_fract_z
_atom_site_occupancy
La1 La 0.0000 0.0000 0.0000 1
La2 La 0.0415 0.1580 0.3506 1
C1 C 0.0000 0.0000 0.5000 1
Br1 Br 0.0236 0.5852 0.1623 1
Br2 Br 0.0492 0.1845 0.8395 1
```